Crystalline Mg5I12Br3 at its relaxed geometry, computed with PBE.

a = 16.2286 Å, b = 16.2286 Å, c = 16.2286 Å
α = 109.47°, β = 109.47°, γ = 109.47°
Atoms (fractional coordinates):
Mg  0.0000  0.0000  0.0000
Mg  0.0000  0.0000  0.5000
Mg  0.0000  0.5000  0.0000
Mg  0.0000  0.5000  0.5000
Mg  0.1250  0.7500  0.8750
Mg  0.1250  0.8750  0.2500
Mg  0.2500  0.1250  0.8750
Mg  0.2500  0.6250  0.3750
Mg  0.3750  0.2500  0.6250
Mg  0.3750  0.6250  0.7500
Mg  0.5000  0.0000  0.0000
Mg  0.5000  0.0000  0.5000
Mg  0.5000  0.5000  0.0000
Mg  0.5000  0.5000  0.5000
Mg  0.6250  0.3750  0.2500
Mg  0.6250  0.7500  0.3750
Mg  0.7500  0.3750  0.6250
Mg  0.7500  0.8750  0.1250
Mg  0.8750  0.1250  0.7500
Mg  0.8750  0.2500  0.1250
I  0.0166  0.1924  0.1216
I  0.0166  0.3242  0.8950
I  0.0708  0.6924  0.6758
I  0.0708  0.8784  0.3950
I  0.1050  0.6216  0.4292
I  0.1050  0.9834  0.6758
I  0.1216  0.0166  0.1924
I  0.1216  0.6050  0.9292
I  0.1758  0.1924  0.5708
I  0.1758  0.4834  0.6050
I  0.1924  0.1216  0.0166
I  0.1924  0.5708  0.1758
I  0.3076  0.3242  0.9292
I  0.3076  0.4834  0.3784
I  0.3242  0.8950  0.0166
I  0.3242  0.9292  0.3076
I  0.3784  0.3076  0.4834
I  0.3784  0.5708  0.8950
I  0.3950  0.0708  0.8784
I  0.3950  0.8242  0.5166
I  0.4292  0.1050  0.6216
I  0.4292  0.8242  0.8076
I  0.4834  0.3784  0.3076
I  0.4834  0.6050  0.1758
I  0.5166  0.3950  0.8242
I  0.5166  0.6216  0.6924
I  0.5708  0.1758  0.1924
I  0.5708  0.8950  0.3784
I  0.6050  0.1758  0.4834
I  0.6050  0.9292  0.1216
I  0.6216  0.4292  0.1050
I  0.6216  0.6924  0.5166
I  0.6758  0.0708  0.6924
I  0.6758  0.1050  0.9834
I  0.6924  0.5166  0.6216
I  0.6924  0.6758  0.0708
I  0.8076  0.4292  0.8242
I  0.8076  0.8784  0.9834
I  0.8242  0.5166  0.3950
I  0.8242  0.8076  0.4292
I  0.8784  0.3950  0.0708
I  0.8784  0.9834  0.8076
I  0.8950  0.0166  0.3242
I  0.8950  0.3784  0.5708
I  0.9292  0.1216  0.6050
I  0.9292  0.3076  0.3242
I  0.9834  0.6758  0.1050
I  0.9834  0.8076  0.8784
Br  0.1250  0.2500  0.3750
Br  0.1250  0.3750  0.7500
Br  0.2500  0.3750  0.1250
Br  0.2500  0.8750  0.6250
Br  0.3750  0.1250  0.2500
Br  0.3750  0.7500  0.1250
Br  0.6250  0.2500  0.8750
Br  0.6250  0.8750  0.7500
Br  0.7500  0.1250  0.3750
Br  0.7500  0.6250  0.8750
Br  0.8750  0.6250  0.2500
Br  0.8750  0.7500  0.6250

Crystalline Mg2IBr at its relaxed geometry, computed with PBE.

a = 8.0542 Å, b = 8.0542 Å, c = 7.6062 Å
α = 90.00°, β = 90.00°, γ = 90.00°
Atoms (fractional coordinates):
Mg  0.2300  0.2500  0.1250
Mg  0.2500  0.7300  0.3750
Mg  0.2500  0.7700  0.8750
Mg  0.2700  0.2500  0.6250
Mg  0.7300  0.7500  0.6250
Mg  0.7500  0.2300  0.8750
Mg  0.7500  0.2700  0.3750
Mg  0.7700  0.7500  0.1250
I  0.0000  0.0000  0.5000
I  0.0000  0.5000  0.7500
I  0.5000  0.0000  0.2500
I  0.5000  0.5000  0.0000
Br  0.0000  0.0000  0.0000
Br  0.0000  0.5000  0.2500
Br  0.5000  0.0000  0.7500
Br  0.5000  0.5000  0.5000

Summary:
Offset from the most stable computed form ... 0.000 eV per atom

Computed values of energy relative to the elements, uncorrected (unit: eV per atom) for the preceding records, in sequence: -0.5178 -0.3911.
Computed values of raw total energy (unit: eV/f.u.) for the preceding records, in sequence: -41.95 -7.98.